A relaxed Ho4Er5Cd crystal. Source: Alexandria, functional PBE-GGA.

The structure in CIF format:
```
data_Ho4Er5Cd
_symmetry_space_group_name_H-M 'P 4/m m m'
_symmetry_Int_Tables_number 123
_symmetry_space_group_name_Hall '-P 4 2'
_cell_length_a 3.5207
_cell_length_b 3.5207
_cell_length_c 23.9775
_cell_angle_alpha 90.00
_cell_angle_beta 90.00
_cell_angle_gamma 90.00
loop_
_atom_site_label
_atom_site_fract_x
_atom_site_fract_y
_atom_site_fract_z
Ho1 0.0000 0.0000 0.1033
Ho2 0.0000 0.0000 0.3098
Er1 0.5000 0.5000 0.0000
Er2 0.5000 0.5000 0.2066
Er3 0.5000 0.5000 0.4127
Cd1 0.0000 0.0000 0.5000
```

Values from the calculation:
Energy above the lowest structure with this stoichiometry in kJ/mol of formula units: 0
DFT formation energy in meV per atom: -44.0